Model one:
Here is a geometry-optimized CdRe2Br structure from Alexandria via LeMat-Bulk. Energies are from PBE.

Unit cell a=3.1008 b=3.0586 c=8.4265 alpha=90.00 beta=90.79 gamma=90.00
Space group Pm (No. 6)
Asymmetric unit:
Cd  0.0000  0.0000  0.0000 x1
Re  0.4895  0.5000  0.7600 x1
Re  0.9832  0.0000  0.5923 x1
Br  0.9716  0.5000  0.3390 x1

Magnetic moment   0.0 μB per cell
Density of states at the Fermi level   2.84 states/eV/cell


Model two:
Here is a geometry-optimized CdRe2Br structure from Alexandria via LeMat-Bulk. Energies are from PBE.

Unit cell a=2.9146 b=4.8964 c=10.8781 alpha=90.00 beta=90.00 gamma=90.00
Space group Cmm2 (No. 35)
Asymmetric unit:
Cd  0.0000  0.0000  0.0000 x2
Re  0.0000  0.0000  0.5609 x2
Re  0.0000  0.5000  0.7536 x2
Br  0.0000  0.5000  0.3249 x2

Magnetic moment   0.0 μB per cell
Density of states at the Fermi level   6.25 states/eV/cell


Model three:
Here is a geometry-optimized CdRe2Br structure from Alexandria via LeMat-Bulk. Energies are from PBE.

Unit cell a=10.7709 b=2.9012 c=5.4740 alpha=90.00 beta=117.08 gamma=90.00
Space group Cm (No. 8)
Asymmetric unit:
Cd  0.0000  0.0000  0.0000 x2
Re  0.0375  0.5000  0.5506 x2
Re  0.2447  0.0000  0.5953 x2
Br  0.3095  0.5000  0.2848 x2

Magnetic moment   0.0 μB per cell
Density of states at the Fermi level   6.32 states/eV/cell


It turns out model one is the most stable, with the second structure 0.356 eV/atom higher.


Model one:
Here is a geometry-optimized CdRe2Br structure from Alexandria via LeMat-Bulk. Energies are from PBE.

Unit cell a=3.6655 b=3.6655 c=6.6047 alpha=90.00 beta=90.00 gamma=90.00
Space group P4/mmm (No. 123)
Asymmetric unit:
Cd  0.0000  0.0000  0.0000 x1
Re  0.0000  0.5000  0.5000 x2
Br  0.5000  0.5000  0.0000 x1

Magnetic moment   0.7 μB per cell
Density of states at the Fermi level   3.86 states/eV/cell


Model two:
Here is a geometry-optimized CdRe2Br structure from Alexandria via LeMat-Bulk. Energies are from PBE.

Unit cell a=4.3436 b=4.3436 c=7.4140 alpha=90.00 beta=90.00 gamma=90.00
Space group I-4m2 (No. 119)
Asymmetric unit:
Cd  0.0000  0.0000  0.0000 x2
Re  0.0000  0.0000  0.5000 x2
Re  0.0000  0.5000  0.7500 x2
Br  0.0000  0.5000  0.2500 x2

Magnetic moment   0.0 μB per cell
Density of states at the Fermi level   4.71 states/eV/cell


Model three:
Here is a geometry-optimized CdRe2Br structure from Alexandria via LeMat-Bulk. Energies are from PBE.

Unit cell a=2.9344 b=2.9344 c=27.3904 alpha=90.00 beta=90.00 gamma=120.00
Space group R-3m (No. 166, hexagonal axes)
Asymmetric unit:
Cd  0.0000  0.0000  0.0000 x3
Re  0.0000  0.0000  0.2456 x6
Br  0.0000  0.0000  0.5000 x3

Magnetic moment   1.3 μB per cell
Density of states at the Fermi level   16.54 states/eV/cell


It turns out model three is the most stable, with the second structure 0.214 eV/atom higher.


Model one:
Here is a geometry-optimized CdRe2Br structure from Alexandria via LeMat-Bulk. Energies are from PBE.

Unit cell a=3.3997 b=4.7911 c=11.5474 alpha=90.00 beta=90.00 gamma=90.00
Space group Imm2 (No. 44)
Asymmetric unit:
Cd  0.0000  0.0000  0.0000 x2
Re  0.0000  0.0000  0.5043 x2
Re  0.0000  0.5000  0.8670 x2
Br  0.0000  0.5000  0.2183 x2

Magnetic moment   0.0 μB per cell
Density of states at the Fermi level   6.20 states/eV/cell


Model two:
Here is a geometry-optimized CdRe2Br structure from Alexandria via LeMat-Bulk. Energies are from PBE.

Unit cell a=3.0447 b=3.0447 c=8.4386 alpha=90.00 beta=90.00 gamma=90.00
Space group P4mm (No. 99)
Asymmetric unit:
Cd  0.0000  0.0000  0.0000 x1
Re  0.0000  0.0000  0.4138 x1
Re  0.5000  0.5000  0.2409 x1
Br  0.5000  0.5000  0.6519 x1

Magnetic moment   0.0 μB per cell
Density of states at the Fermi level   3.26 states/eV/cell


It turns out model two is the most stable, with the second structure 0.507 eV/atom higher.


Model one:
Here is a geometry-optimized CdRe2Br structure from Alexandria via LeMat-Bulk. Energies are from PBE.

Unit cell a=3.5671 b=5.0430 c=5.0918 alpha=90.00 beta=97.82 gamma=90.00
Space group P2/m (No. 10)
Asymmetric unit:
Cd  0.0000  0.0000  0.0000 x1
Re  0.2949  0.5000  0.1543 x2
Br  0.5000  0.0000  0.5000 x1

Magnetic moment   0.0 μB per cell
Density of states at the Fermi level   4.15 states/eV/cell


Model two:
Here is a geometry-optimized CdRe2Br structure from Alexandria via LeMat-Bulk. Energies are from PBE.

Unit cell a=3.1127 b=3.1127 c=6.9332 alpha=90.00 beta=90.00 gamma=90.00
Space group P4/mmm (No. 123)
Asymmetric unit:
Cd  0.0000  0.0000  0.0000 x1
Re  0.5000  0.5000  0.2804 x2
Br  0.0000  0.0000  0.5000 x1

Magnetic moment   0.0 μB per cell
Density of states at the Fermi level   5.47 states/eV/cell


It turns out model one is the most stable, with the second structure 0.464 eV/atom higher.


Model one:
Here is a geometry-optimized CdRe2Br structure from Alexandria via LeMat-Bulk. Energies are from PBE.

Unit cell a=5.4116 b=9.4083 c=2.8387 alpha=90.00 beta=90.00 gamma=90.00
Space group Cmmm (No. 65)
Asymmetric unit:
Cd  0.0000  0.0000  0.0000 x2
Re  0.2500  0.2500  0.5000 x4
Br  0.0000  0.5000  0.0000 x2

Magnetic moment   0.0 μB per cell
Density of states at the Fermi level   9.87 states/eV/cell


Model two:
Here is a geometry-optimized CdRe2Br structure from Alexandria via LeMat-Bulk. Energies are from PBE.

Unit cell a=2.8488 b=5.0132 c=9.8404 alpha=90.00 beta=90.00 gamma=90.00
Space group Cmmm (No. 65)
Asymmetric unit:
Cd  0.0000  0.0000  0.0000 x2
Re  0.0000  0.5000  0.2545 x4
Br  0.0000  0.0000  0.5000 x2

Magnetic moment   0.0 μB per cell
Density of states at the Fermi level   7.18 states/eV/cell


It turns out model two is the most stable, with the second structure 0.320 eV/atom higher.


Model one:
Here is a geometry-optimized CdRe2Br structure from Alexandria via LeMat-Bulk. Energies are from PBE.

Unit cell a=5.4236 b=10.5778 c=3.1849 alpha=90.00 beta=125.71 gamma=90.00
Space group C2/m (No. 12)
Asymmetric unit:
Cd  0.0000  0.0000  0.0000 x2
Re  0.2500  0.2500  0.5000 x4
Br  0.0000  0.5000  0.0000 x2

Magnetic moment   0.0 μB per cell
Density of states at the Fermi level   7.02 states/eV/cell


Model two:
Here is a geometry-optimized CdRe2Br structure from Alexandria via LeMat-Bulk. Energies are from PBE.

Unit cell a=6.4605 b=6.4605 c=6.4605 alpha=90.00 beta=90.00 gamma=90.00
Space group Fm-3m (No. 225)
Asymmetric unit:
Cd  0.0000  0.0000  0.0000 x4
Re  0.2500  0.2500  0.2500 x8
Br  0.0000  0.0000  0.5000 x4

Magnetic moment   0.0 μB per cell
Density of states at the Fermi level   20.26 states/eV/cell


It turns out model one is the most stable, with the second structure 0.437 eV/atom higher.


Model one:
Here is a geometry-optimized CdRe2Br structure from Alexandria via LeMat-Bulk. Energies are from PBE.

Unit cell a=2.8280 b=2.8280 c=8.7134 alpha=90.00 beta=90.00 gamma=90.00
Space group P4/mmm (No. 123)
Asymmetric unit:
Cd  0.0000  0.0000  0.0000 x1
Re  0.5000  0.5000  0.2564 x2
Br  0.0000  0.0000  0.5000 x1

Magnetic moment   0.0 μB per cell
Density of states at the Fermi level   5.30 states/eV/cell


Model two:
Here is a geometry-optimized CdRe2Br structure from Alexandria via LeMat-Bulk. Energies are from PBE.

Unit cell a=7.4643 b=7.4643 c=5.3789 alpha=90.00 beta=90.00 gamma=90.00
Space group I-42d (No. 122)
Asymmetric unit:
Cd  0.0000  0.0000  0.0000 x4
Re  0.1915  0.2500  0.6250 x8
Br  0.0000  0.0000  0.5000 x4

Magnetic moment   0.0 μB per cell
Density of states at the Fermi level   27.19 states/eV/cell


It turns out model one is the most stable, with the second structure 0.302 eV/atom higher.


Model one:
Here is a geometry-optimized CdRhBr structure from Alexandria via LeMat-Bulk. Energies are from PBE.

Unit cell a=3.2139 b=3.2139 c=11.8511 alpha=90.00 beta=90.00 gamma=90.00
Space group I4mm (No. 107)
Asymmetric unit:
Cd  0.0000  0.0000  0.0000 x2
Rh  0.0000  0.0000  0.6379 x2
Br  0.0000  0.0000  0.2849 x2

Magnetic moment   0.0 μB per cell
Density of states at the Fermi level   6.39 states/eV/cell


Model two:
Here is a geometry-optimized CdRhBr structure from Alexandria via LeMat-Bulk. Energies are from PBE.

Unit cell a=6.4222 b=6.4222 c=6.4222 alpha=90.00 beta=90.00 gamma=90.00
Space group F-43m (No. 216)
Asymmetric unit:
Cd  0.0000  0.0000  0.0000 x4
Rh  0.2500  0.2500  0.2500 x4
Br  0.0000  0.0000  0.5000 x4

Magnetic moment   0.0 μB per cell
Density of states at the Fermi level   12.29 states/eV/cell


It turns out model one is the most stable, with the second structure 0.075 eV/atom higher.


Model one:
Here is a geometry-optimized CdRhBr structure from Alexandria via LeMat-Bulk. Energies are from PBE.

Unit cell a=4.5008 b=4.5008 c=3.3853 alpha=90.00 beta=90.00 gamma=120.00
Space group P-6m2 (No. 187)
Asymmetric unit:
Cd  0.0000  0.0000  0.0000 x1
Rh  0.6667  0.3333  0.5000 x1
Br  0.3333  0.6667  0.5000 x1

Magnetic moment   0.0 μB per cell
Density of states at the Fermi level   1.21 states/eV/cell


Model two:
Here is a geometry-optimized CdRhBr structure from Alexandria via LeMat-Bulk. Energies are from PBE.

Unit cell a=3.3425 b=3.3425 c=13.4722 alpha=90.00 beta=90.00 gamma=120.00
Space group P-6m2 (No. 187)
Asymmetric unit:
Cd  0.0000  0.0000  0.0000 x1
Cd  0.0000  0.0000  0.5000 x1
Rh  0.3333  0.6667  0.1553 x2
Br  0.6667  0.3333  0.2802 x2

Magnetic moment   1.6 μB per cell
Density of states at the Fermi level   5.58 states/eV/cell


Model three:
Here is a geometry-optimized CdRhBr structure from Alexandria via LeMat-Bulk. Energies are from PBE.

Unit cell a=3.4391 b=3.4391 c=6.0925 alpha=90.00 beta=90.00 gamma=120.00
Space group P3m1 (No. 156)
Asymmetric unit:
Cd  0.0000  0.0000  0.0000 x1
Rh  0.3333  0.6667  0.3143 x1
Br  0.6667  0.3333  0.6044 x1

Magnetic moment   0.6 μB per cell
Density of states at the Fermi level   3.42 states/eV/cell


It turns out model three is the most stable, with the second structure 0.045 eV/atom higher.


Model one:
Here is a geometry-optimized CdRhBr2 structure from Alexandria via LeMat-Bulk. Energies are from PBE.

Unit cell a=7.0610 b=7.0610 c=7.0610 alpha=90.00 beta=90.00 gamma=90.00
Space group F-43m (No. 216)
Asymmetric unit:
Cd  0.0000  0.0000  0.0000 x4
Rh  0.2500  0.2500  0.2500 x4
Br  0.0000  0.0000  0.5000 x4
Br  0.2500  0.2500  0.7500 x4

Magnetic moment   4.8 μB per cell
Density of states at the Fermi level   28.45 states/eV/cell


Model two:
Here is a geometry-optimized CdRhBr2 structure from Alexandria via LeMat-Bulk. Energies are from PBE.

Unit cell a=6.8207 b=7.7072 c=5.0659 alpha=90.00 beta=131.32 gamma=90.00
Space group C2/m (No. 12)
Asymmetric unit:
Cd  0.0000  0.0000  0.0000 x2
Rh  0.0000  0.5000  0.0000 x2
Br  0.2500  0.2500  0.5000 x4

Magnetic moment   0.8 μB per cell
Density of states at the Fermi level   9.60 states/eV/cell


It turns out model two is the most stable, with the second structure 0.319 eV/atom higher.


Model one:
Here is a geometry-optimized CdRhBr2 structure from Alexandria via LeMat-Bulk. Energies are from PBE.

Unit cell a=3.9974 b=3.5811 c=7.5981 alpha=90.00 beta=105.20 gamma=90.00
Space group Pm (No. 6)
Asymmetric unit:
Cd  0.0000  0.0000  0.0000 x1
Rh  0.4458  0.5000  0.8911 x1
Br  0.3254  0.0000  0.6527 x1
Br  0.6170  0.5000  0.2361 x1

Magnetic moment   0.0 μB per cell
Density of states at the Fermi level   2.75 states/eV/cell


Model two:
Here is a geometry-optimized CdRhBr2 structure from Alexandria via LeMat-Bulk. Energies are from PBE.

Unit cell a=3.7408 b=3.7408 c=25.2580 alpha=90.00 beta=90.00 gamma=120.00
Space group R3m (No. 160, hexagonal axes)
Asymmetric unit:
Cd  0.0000  0.0000  0.0000 x3
Rh  0.0000  0.0000  0.7419 x3
Br  0.0000  0.0000  0.2627 x3
Br  0.0000  0.0000  0.4605 x3

Magnetic moment   3.1 μB per cell
Density of states at the Fermi level   4.27 states/eV/cell


Model three:
Here is a geometry-optimized CdRhBr2 structure from Alexandria via LeMat-Bulk. Energies are from PBE.

Unit cell a=3.3870 b=4.6496 c=13.8195 alpha=90.00 beta=90.00 gamma=90.00
Space group Immm (No. 71)
Asymmetric unit:
Cd  0.0000  0.0000  0.0000 x2
Rh  0.0000  0.0000  0.5000 x2
Br  0.0000  0.5000  0.1426 x4

Magnetic moment   0.8 μB per cell
Density of states at the Fermi level   4.59 states/eV/cell


Model four:
Here is a geometry-optimized CdRhBr2 structure from Alexandria via LeMat-Bulk. Energies are from PBE.

Unit cell a=6.8509 b=3.6601 c=9.2176 alpha=90.00 beta=105.72 gamma=90.00
Space group C2/m (No. 12)
Asymmetric unit:
Cd  0.0000  0.0000  0.0000 x2
Rh  0.0000  0.5000  0.5000 x2
Br  0.2075  0.0000  0.6603 x4

Magnetic moment   2.0 μB per cell
Density of states at the Fermi level   3.12 states/eV/cell


It turns out model one is the most stable, with the second structure 0.018 eV/atom higher.


Model one:
Here is a geometry-optimized CdRhBr2 structure from Alexandria via LeMat-Bulk. Energies are from PBE.

Unit cell a=3.7425 b=3.7425 c=28.7744 alpha=90.00 beta=90.00 gamma=120.00
Space group R-3m (No. 166, hexagonal axes)
Asymmetric unit:
Cd  0.0000  0.0000  0.0000 x3
Rh  0.0000  0.0000  0.5000 x3
Br  0.0000  0.0000  0.1165 x6

Magnetic moment   3.0 μB per cell
Density of states at the Fermi level   10.18 states/eV/cell


Model two:
Here is a geometry-optimized CdRhBr2 structure from Alexandria via LeMat-Bulk. Energies are from PBE.

Unit cell a=10.3540 b=3.5110 c=7.0342 alpha=90.00 beta=115.17 gamma=90.00
Space group Cm (No. 8)
Asymmetric unit:
Cd  0.0000  0.0000  0.0000 x2
Rh  0.2336  0.5000  0.9997 x2
Br  0.1624  0.0000  0.7168 x2
Br  0.3266  0.0000  0.2823 x2

Magnetic moment   0.0 μB per cell
Density of states at the Fermi level   3.64 states/eV/cell


Model three:
Here is a geometry-optimized CdRhBr2 structure from Alexandria via LeMat-Bulk. Energies are from PBE.

Unit cell a=3.5572 b=6.4561 c=9.4392 alpha=90.00 beta=90.00 gamma=90.00
Space group Cmmm (No. 65)
Asymmetric unit:
Cd  0.0000  0.0000  0.0000 x2
Rh  0.0000  0.0000  0.5000 x2
Br  0.0000  0.5000  0.3161 x4

Magnetic moment   1.4 μB per cell
Density of states at the Fermi level   8.26 states/eV/cell


Model four:
Here is a geometry-optimized CdRhBr2 structure from Alexandria via LeMat-Bulk. Energies are from PBE.

Unit cell a=3.4276 b=3.8970 c=15.4439 alpha=90.00 beta=90.00 gamma=90.00
Space group Imm2 (No. 44)
Asymmetric unit:
Cd  0.0000  0.0000  0.0000 x2
Rh  0.0000  0.5000  0.6425 x2
Br  0.0000  0.0000  0.4078 x2
Br  0.0000  0.5000  0.1713 x2

Magnetic moment   0.0 μB per cell
Density of states at the Fermi level   3.56 states/eV/cell


It turns out model two is the most stable, with the second structure 0.090 eV/atom higher.